Entry 1:
Entry from Alexandria via LeMat-Bulk: a relaxed structure of TmThAl2Zn2 (GGA-PBE).

The structure in extended XYZ format:
```
6
Lattice="4.473 0.000 0.000 -2.236 3.874 0.000 0.000 0.000 7.343" Properties=species:S:1:pos:R:3 pbc="T T T"
Tm 0.000 0.000 0.000
Th 0.000 0.000 3.672
Al 0.000 2.582 1.696
Al 2.236 1.291 5.647
Zn 0.000 2.582 5.709
Zn 2.236 1.291 1.634
```

- Space-group type: No. 164
- Fermi-level density of states: 3.947 states/eV/f.u.
- Total magnetic moment: 0.000 μB/atom
- Total DFT energy (no corrections): -4.069 eV per atom

Entry 2:
Entry from Alexandria via LeMat-Bulk: a relaxed structure of TmThAlZn (GGA-PBE).

The structure in extended XYZ format:
```
16
Lattice="7.250 0.000 0.000 0.000 7.250 0.000 0.000 0.000 7.250" Properties=species:S:1:pos:R:3 pbc="T T T"
Tm 0.000 0.000 0.000
Tm 0.000 3.625 3.625
Tm 3.625 0.000 3.625
Tm 3.625 3.625 0.000
Th 0.000 0.000 3.625
Th 0.000 3.625 0.000
Th 3.625 0.000 0.000
Th 3.625 3.625 3.625
Al 1.813 1.813 5.438
Al 1.813 5.438 1.813
Al 5.438 1.813 1.813
Al 5.438 5.438 5.438
Zn 1.813 1.813 1.813
Zn 1.813 5.438 5.438
Zn 5.438 1.813 5.438
Zn 5.438 5.438 1.813
```

- Space-group type: No. 216
- Fermi-level density of states: 0.693 states/eV/f.u.
- Total magnetic moment: 0.000 μB/atom
- Total DFT energy (no corrections): -4.522 eV per atom